# Cs3V5Cl12 | the Alexandria database | PBE | optimized geometry
data_Cs3V5Cl12
_space_group_name_H-M_alt 'I a -3 d'
_space_group_IT_number 230
_space_group_name_Hall '-I 4bd 2c 3'
_cell_length_a 16.6845
_cell_length_b 16.6845
_cell_length_c 16.6845
_cell_angle_alpha 90.00
_cell_angle_beta 90.00
_cell_angle_gamma 90.00
loop_
_atom_site_label
_atom_site_fract_x
_atom_site_fract_y
_atom_site_fract_z
Cs1 0.0000 0.2500 0.1250
V1 0.0000 0.0000 0.0000
V2 0.0000 0.2500 0.3750
Cl1 0.0417 0.0441 0.6398
# **Calculated total energy**: -4.680 eV/atom
# **Calculated volume**: 29.03 Å³/atom
# **Spin magnetization**: 128.00 μB per cell
# **Crystal system**: cubic